KBeCl3 | PBE | optimized geometry

abc: 7.1818 7.1818 5.3094
angles: 94.54 94.54 75.12
Atoms (fractional coordinates):
K1 0.0000 0.0000 0.0000
K2 0.6393 0.6393 0.5037
Be1 0.1626 0.4773 0.2521
Be2 0.4773 0.1626 0.2521
Cl1 0.1489 0.7157 0.4761
Cl2 0.2274 0.2274 0.4505
Cl3 0.4121 0.4121 0.0544
Cl4 0.4907 0.9238 0.0291
Cl5 0.7157 0.1489 0.4761
Cl6 0.9238 0.4907 0.0291

- symmetry = Cm (8)
- final energy (eV/atom) = -3.749
- energy relative to the elements, uncorrected (eV per atom) = -1.68
- energy above the lowest structure with this stoichiometry (meV/atom) = 0.0